No. 1
## Ce5Hg2Rh (PBE)

Data for an optimized crystal structure of Ce5Hg2Rh.

**Energy relative to the elements**: 2.29 kJ per mole of atoms

Lattice parameters (Å, degrees): 5.6897 8.2756 12.2609 90.00 90.00 110.11
Last column: magnetic moment on the atom in μB.
Atoms (fractional coordinates):
Ce (0.9434, 0.8867, 0.9071)  0.97
Ce (0.9434, 0.8867, 0.5929)  0.97
Ce (0.3039, 0.6078, 0.4288)  0.97
Ce (0.3039, 0.6078, 0.0712)  0.97
Ce (0.6755, 0.3510, 0.2500)  0.84
Ce (0.3245, 0.6490, 0.7500)  0.84
Ce (0.6961, 0.3922, 0.5712)  0.97
Ce (0.6961, 0.3922, 0.9288)  0.97
Ce (0.0566, 0.1133, 0.0929)  0.97
Ce (0.0566, 0.1133, 0.4071)  0.97
Hg (0.8584, 0.7168, 0.3661)  0.01
Hg (0.8584, 0.7168, 0.1339)  0.01
Hg (0.1416, 0.2832, 0.6339)  0.01
Hg (0.1416, 0.2832, 0.8661)  0.01
Rh (0.8165, 0.6329, 0.7500)  -0.07
Rh (0.1835, 0.3671, 0.2500)  -0.07

---

No. 2
## CaTaAg2Te (PBE)

Data for an optimized crystal structure of CaTaAg2Te.

**Energy relative to the elements, uncorrected**: 759 meV/atom

Lattice parameters (Å, degrees): 5.2714 5.2134 5.2714 90.00 90.00 90.00
Last column: magnetic moment on the atom in μB.
Atoms (fractional coordinates):
Ca (0.5000, 0.5000, 0.5000)  0.03
Te (0.0000, 0.0000, 0.0000)  -0.02
Ag (0.0000, 0.0000, 0.5000)  0.02
Ag (0.5000, 0.0000, 0.0000)  0.00
Ta (0.0000, 0.5000, 0.0000)  1.04

---

No. 3
## PmLuCdSb (PBE)

Data for an optimized crystal structure of PmLuCdSb.

**Energy relative to the elements, uncorrected**: -490 meV/atom

Lattice parameters (Å, degrees): 5.3327 5.3327 5.3327 60.00 60.00 60.00
Atoms (fractional coordinates):
Sb (0.2500, 0.2500, 0.2500)
Lu (0.0000, 0.0000, 0.0000)
Pm (0.5000, 0.5000, 0.5000)
Cd (0.7500, 0.7500, 0.7500)

---

No. 4
## NiAgN2 (PBE)

Data for an optimized crystal structure of NiAgN2.

**Energy relative to the elements, uncorrected**: 1334 meV/atom
**Excess energy over the best structure of this formula in the dataset**: 0.5132 eV/atom

Lattice parameters (Å, degrees): 6.0593 6.0593 6.0593 30.62 30.62 30.62
Last column: magnetic moment on the atom in μB.
Atoms (fractional coordinates):
Ni (0.0000, 0.0000, 0.0000)  0.20
Ag (0.5000, 0.5000, 0.5000)  0.00
N (0.8994, 0.8994, 0.8994)  0.02
N (0.1006, 0.1006, 0.1006)  0.02

---

No. 5
## Ti3InAu (PBE)

Data for an optimized crystal structure of Ti3InAu.

**Energy relative to the elements**: -2.71 kJ per mole of atoms
**Excess energy over the best structure of this formula in the dataset**: 0.0000 eV/atom

Lattice parameters (Å, degrees): 4.8542 5.5934 7.8994 88.77 90.00 115.72
Atoms (fractional coordinates):
Ti (0.0418, 0.0835, 0.1904)
Ti (0.9582, 0.9165, 0.8096)
Ti (0.6769, 0.3538, 0.7580)
Ti (0.3231, 0.6462, 0.2420)
Ti (0.8675, 0.7351, 0.4652)
Ti (0.1325, 0.2649, 0.5348)
In (0.4022, 0.8044, 0.6433)
In (0.5978, 0.1956, 0.3567)
Au (0.2101, 0.4201, 0.9148)
Au (0.7899, 0.5799, 0.0852)

---

No. 6
## SmY3HoTm (PBE)

Data for an optimized crystal structure of SmY3HoTm.

**Energy relative to the elements**: 2.29 kJ per mole of atoms

Lattice parameters (Å, degrees): 5.0269 7.9617 10.0725 90.00 90.00 108.40
Atoms (fractional coordinates):
Sm (0.4992, 0.9983, 0.7500)
Sm (0.5008, 0.0017, 0.2500)
Y (0.6661, 0.3322, 0.4997)
Y (0.3339, 0.6678, 0.5003)
Y (0.3339, 0.6678, 0.9997)
Y (0.6661, 0.3322, 0.0003)
Y (0.1673, 0.3345, 0.7500)
Y (0.8327, 0.6655, 0.2500)
Ho (0.0000, 0.0000, 0.5000)
Ho (0.0000, 0.0000, 0.0000)
Tm (0.8336, 0.6672, 0.7500)
Tm (0.1664, 0.3328, 0.2500)